3
Lattice="0.000 2.823 2.823 2.823 0.000 2.823 2.823 2.823 0.000" Properties=species:S:1:pos:R:3 comment="CoMoAs | OQMD | PBE | relaxed" vol_a3_per_cell=44.99 dft_energy_ev_per_cell=-22.32 pbc="T T T"
Co 0.000 0.000 0.000
Mo 1.411 1.411 1.411
As 4.234 4.234 4.234